DFT (PBE) results for an optimized crystal structure of Ce8Ge3Te4As.

Structure (CIF):
```
data_Ce8Ge3Te4As
_chemical_formula_sum 'Ce24 Ge9 Te12 As3'
_space_group_name_H-M_alt 'R -3 m'
_space_group_IT_number 166
_space_group_name_Hall '-R 3 2"'
_cell_length_a 8.7011
_cell_length_b 8.7011
_cell_length_c 21.6353
_cell_angle_alpha 90.00
_cell_angle_beta 90.00
_cell_angle_gamma 120.00
loop_
_atom_site_label
_atom_site_type_symbol
_atom_site_fract_x
_atom_site_fract_y
_atom_site_fract_z
Ce1 Ce 0.0000 0.0000 0.2422
Ce2 Ce 0.9997 0.4999 0.2421
Ge1 Ge 0.0000 0.5000 0.5000
Te1 Te 0.0000 0.0000 0.0000
Te2 Te 0.0000 0.5000 0.0000
As1 As 0.0000 0.0000 0.5000
```

Computed properties:
Crystal system = trigonal
ρ = 6.76 g cm⁻³
Calculated total energy = -6.08 eV/atom
Formation energy from raw total energies = -1805 kJ/mol of formula units